[1]
Material: TlH2Se2O6
Method: DFT, PBE
State: optimized geometry

Properties
VASP energy in eV/atom: -4.9375
M_tot in μB per cell: 0.0
V in Å³/cell: 176.7
DOS(E_F) in states/eV per cell: 2.00

abc: 4.8265 5.4330 7.3062
angles: 92.82 89.37 67.49
Positions (direct):
Se1 0.8670 0.3085 0.1726
Se2 0.1330 0.6915 0.8274
O1 0.8729 0.6478 0.6892
O2 0.1271 0.3522 0.3108
O3 0.5229 0.5812 0.2662
O4 0.1826 0.9654 0.7594
O5 0.8174 0.0346 0.2406
O6 0.4771 0.4188 0.7338
H1 0.6411 0.4914 0.7241
H2 0.3589 0.5086 0.2759
Tl1 0.5000 0.0000 0.5000


[2]
Material: TlH6Se2O2
Method: DFT, PBE
State: optimized geometry

Properties
VASP energy in eV/atom: -4.0777
M_tot in μB per cell: 0.0
V in Å³/cell: 176.8
DOS(E_F) in states/eV per cell: 2.67

abc: 4.2557 8.5102 7.1606
angles: 134.72 105.90 75.99
Positions (direct):
H1 0.7311 0.2967 0.2517
H2 0.1706 0.5431 0.7757
H3 0.5511 0.5409 0.7715
H4 0.8294 0.4569 0.2243
H5 0.2689 0.7033 0.7483
H6 0.4489 0.4591 0.2285
Tl1 0.5000 0.0000 0.5000
Se1 0.8788 0.2760 0.5339
Se2 0.1212 0.7240 0.4661
O1 0.6550 0.3472 0.1455
O2 0.3450 0.6528 0.8545